Record 1
## Ac3TiTl4Se8 (PBE-GGA)

Data for a geometry-optimized Ac3TiTl4Se8 structure.

Computed properties:
- ρ (g/cm3) = 7.0

abc: 8.7780 8.7780 23.2368
angles: 90.00 90.00 120.00
Space group R-3m (No. 166, hexagonal axes)
One atom of each set of equivalent atoms:
Ac 0.0000 0.5000 0.0000 (multiplicity 9)
Ti 0.0000 0.0000 0.0000 (multiplicity 3)
Tl 0.0000 0.0000 0.5000 (multiplicity 3)
Tl 0.0000 0.5000 0.5000 (multiplicity 9)
Se 0.0000 0.0000 0.2584 (multiplicity 6)
Se 0.0357 0.5179 0.7350 (multiplicity 18)

=====

Record 2
## Ac2TlSe (PBE-GGA)

Data for a geometry-optimized Ac2TlSe structure.

Computed properties:
- ρ (g/cm3) = 9.6
- excess energy over the best structure of this formula in the dataset (meV/atom) = 129

abc: 3.843 3.843 8.614
angles: 90.00 90.00 90.00
Space group P4/mmm (No. 123)
One atom of each set of equivalent atoms:
Ac 0.000 0.000 0.233 (multiplicity 2)
Tl 0.500 0.500 0.500 (multiplicity 1)
Se 0.500 0.500 0.000 (multiplicity 1)

=====

Ordered raw formation energy results: -1.220; -0.958; unit eV/atom.
Ordered calculated volume results: 1550.6; 127.2; unit Å³/cell.